{
  "formula": "BeBi3Os",
  "functional": "PBE-GGA",
  "state": "relaxed",
  "relative_energy_ev_per_atom": 0.0000,
  "spacegroup": "Pm-3m, No. 221",
  "lattice": [[5.315, 0.000, 0.000], [0.000, 5.315, 0.000], [0.000, 0.000, 5.315]],
  "species": ["Be", "Bi", "Bi", "Bi", "Os"],
  "fractional_positions": [[0.000, 0.000, 0.000], [0.000, 0.500, 0.500], [0.500, 0.000, 0.500], [0.500, 0.500, 0.000], [0.500, 0.500, 0.500]]
}

=====

{
  "formula": "CrTeIr3",
  "functional": "PBE-GGA",
  "state": "relaxed",
  "e_form_raw_ev_per_fu": 8.66,
  "spacegroup": "Pm-3m, No. 221",
  "lattice": [[4.837, 0.000, 0.000], [0.000, 4.837, 0.000], [0.000, 0.000, 4.837]],
  "species": ["Cr", "Te", "Ir", "Ir", "Ir"],
  "fractional_positions": [[0.000, 0.000, 0.000], [0.500, 0.500, 0.500], [0.000, 0.500, 0.500], [0.500, 0.000, 0.500], [0.500, 0.500, 0.000]]
}

=====

{
  "formula": "LiCaN3",
  "functional": "PBE-GGA",
  "state": "relaxed",
  "e_form_raw_ev_per_fu": 5.65,
  "spacegroup": "Pm-3m, No. 221",
  "lattice": [[3.709, 0.000, 0.000], [0.000, 3.709, 0.000], [0.000, 0.000, 3.709]],
  "species": ["Li", "Ca", "N", "N", "N"],
  "fractional_positions": [[0.000, 0.000, 0.000], [0.500, 0.500, 0.500], [0.000, 0.000, 0.500], [0.000, 0.500, 0.000], [0.500, 0.000, 0.000]]
}

=====

no.,density (g cm⁻³)
1,9.13
2,11.10
3,2.90